Record 1
DFT (PBE-GGA) results for a geometry-optimized La3ThIr8 structure.

Summary:
calculated formation energy	-0.7516	eV per atom

Cell: 5.4680 5.4680 9.4617 Å, 73.20 73.20 60.00°
Positions (direct):
Ir  0.4401  0.9376  0.6847
Ir  0.6875  0.6875  0.9375
Ir  0.1875  0.1875  0.4376
Ir  0.4376  0.9346  0.1902
Ir  0.9376  0.4401  0.6847
Ir  0.9346  0.4376  0.1902
Ir  0.4376  0.4376  0.1902
Ir  0.9376  0.9376  0.6847
La  0.4983  0.4983  0.5051
La  0.0017  0.0017  0.9949
La  0.3744  0.3744  0.8769
Th  0.8756  0.8756  0.3733

---

Record 2
DFT (PBE-GGA) results for a geometry-optimized ZrAg4Pb structure.

Summary:
calculated formation energy	0.1502	eV per atom

Cell: 5.6011 5.6011 5.6011 Å, 60.00 60.00 60.00°
Positions (direct):
Ag  0.8769  0.3744  0.3744
Ag  0.3744  0.8769  0.3744
Ag  0.3744  0.3744  0.8769
Ag  0.3744  0.3744  0.3744
Pb  0.7500  0.7500  0.7500
Zr  0.0000  0.0000  0.0000

---

Record 3
DFT (PBE-GGA) results for a geometry-optimized Be2SnRuPb structure.

Summary:
calculated formation energy	0.4436	eV per atom

Cell: 4.4929 5.0290 4.4929 Å, 90.00 90.00 90.00°
Positions (direct):
Be  0.5000  0.0000  0.0000
Be  0.0000  0.0000  0.5000
Pb  0.5000  0.5000  0.5000
Ru  0.0000  0.0000  0.0000
Sn  0.0000  0.5000  0.0000

---

Record 4
DFT (PBE-GGA) results for a geometry-optimized Tb2Pr6Tm5 structure.

Summary:
calculated formation energy	0.1070	eV per atom

Cell: 3.6337 11.7444 20.5755 Å, 90.00 90.00 90.00°
Positions (direct):
Pr  0.0000  0.0832  0.3666
Pr  0.0000  0.5832  0.1334
Pr  0.0000  0.4168  0.8666
Pr  0.0000  0.0584  0.0797
Pr  0.0000  0.9168  0.6334
Pr  0.5000  0.6738  0.8680
Pr  0.5000  0.1738  0.6320
Pr  0.0000  0.4416  0.5797
Pr  0.5000  0.8262  0.3680
Pr  0.0000  0.5584  0.4203
Pr  0.5000  0.3262  0.1320
Pr  0.0000  0.9416  0.9203
Tm  0.5000  0.9052  0.7742
Tm  0.5000  0.6993  0.5562
Tm  0.5000  0.5948  0.2742
Tm  0.5000  0.0948  0.2258
Tm  0.5000  0.1993  0.9438
Tm  0.5000  0.5000  0.0000
Tm  0.5000  0.3007  0.4438
Tm  0.5000  0.0000  0.5000
Tm  0.5000  0.8007  0.0562
Tm  0.5000  0.4052  0.7258
Tb  0.0000  0.8358  0.2114
Tb  0.0000  0.6642  0.7114
Tb  0.0000  0.1642  0.7886
Tb  0.0000  0.3358  0.2886

---

Record 5
DFT (PBE-GGA) results for a geometry-optimized Cs2InPbI5 structure.

Summary:
formation energy without anion corrections	-8.920	eV per formula unit

Cell: 5.0034 11.1810 17.3546 Å, 90.00 90.00 102.93°
Positions (direct):
I  0.6300  0.2600  0.4850
I  0.9188  0.8377  0.5747
I  0.2623  0.5247  0.6553
I  0.0812  0.1623  0.0747
I  0.6968  0.3936  0.9065
I  0.3032  0.6064  0.4065
I  0.4973  0.9946  0.7702
I  0.5027  0.0054  0.2702
I  0.3700  0.7400  0.9850
I  0.7377  0.4753  0.1553
Cs  0.0873  0.1746  0.6525
Cs  0.9127  0.8254  0.1525
Cs  0.8627  0.7255  0.7988
Cs  0.1373  0.2745  0.2988
In  0.4600  0.9199  0.4535
In  0.5400  0.0801  0.9535
Pb  0.2239  0.4477  0.0276
Pb  0.7761  0.5523  0.5276

---

Record 6
DFT (PBE-GGA) results for a geometry-optimized BeNiRh2 structure.

Summary:
calculated formation energy	-0.2148	eV per atom

Cell: 2.7072 2.7072 6.4147 Å, 90.00 90.00 90.00°
Each line ends with the local moment (μB).
Positions (direct):
Rh  0.0000  0.0000  0.9884  0.42
Rh  0.5000  0.5000  0.2907  0.13
Ni  0.5000  0.5000  0.7081  0.40
Be  0.0000  0.0000  0.5127  -0.01

---

Record 7
DFT (PBE-GGA) results for a geometry-optimized KMnSe2N structure.

Summary:
formation energy without anion corrections	8.084	eV per formula unit

Cell: 5.7038 5.7038 4.7504 Å, 90.00 90.00 90.00°
Each line ends with the local moment (μB).
Positions (direct):
Se  0.5000  0.0000  0.0000  -0.15
Se  0.0000  0.5000  0.0000  -0.15
Mn  0.5000  0.5000  0.5000  4.57
K  0.0000  0.0000  0.0000  0.04
N  0.0000  0.0000  0.5000  1.77

---

Record 8
DFT (PBE-GGA) results for a geometry-optimized La2HgHPt structure.

Summary:
E	-22.87	eV per cell

Cell: 5.3814 5.3814 3.8232 Å, 90.00 90.00 90.00°
Positions (direct):
H  0.0000  0.0000  0.0000
Pt  0.0000  0.0000  0.5000
La  0.5000  0.0000  0.0000
La  0.0000  0.5000  0.0000
Hg  0.5000  0.5000  0.5000

---

Record 9
DFT (PBE-GGA) results for a geometry-optimized K2TbZn2O4 structure.

Summary:
formation energy without anion corrections	-15.793	eV per formula unit

Cell: 3.3900 6.6314 7.3731 Å, 104.94 103.29 90.00°
Positions (direct):
O  0.1639  0.1982  0.3277
O  0.5510  0.8191  0.1020
O  0.4490  0.1809  0.8980
O  0.8361  0.8018  0.6723
Zn  0.3177  0.9564  0.6354
Zn  0.6823  0.0436  0.3646
K  0.8730  0.4339  0.7461
K  0.1270  0.5661  0.2539
Tb  0.0000  0.0000  0.0000

---

Record 10
DFT (PBE-GGA) results for a geometry-optimized Mn2TlFe structure.

Summary:
calculated formation energy	0.5956	eV per atom

Cell: 8.6070 8.6070 8.6070 Å, 19.84 19.84 19.84°
Each line ends with the local moment (μB).
Positions (direct):
Mn  0.0126  0.0126  0.0126  3.15
Mn  0.4874  0.4874  0.4874  3.15
Fe  0.7500  0.7500  0.7500  1.75
Tl  0.2500  0.2500  0.2500  -0.08

---

Record 11
DFT (PBE-GGA) results for a geometry-optimized CaPm2HoSb4 structure.

Summary:
formation energy without anion corrections	-8.395	eV per formula unit

Cell: 4.4544 7.7192 7.7863 Å, 70.71 90.00 90.00°
Positions (direct):
Sb  0.0000  0.7486  0.7453
Sb  0.5000  0.2554  0.7439
Sb  0.0000  0.2514  0.2547
Sb  0.5000  0.7446  0.2561
Ho  0.0000  0.5000  0.5000
Pm  0.0000  0.0000  0.0000
Pm  0.5000  0.0000  0.5000
Ca  0.5000  0.5000  0.0000

---

Record 12
DFT (PBE-GGA) results for a geometry-optimized As3Au5 structure.

Summary:
calculated formation energy	0.0550	eV per atom

Cell: 8.4188 8.4188 6.8894 Å, 90.02 90.02 138.76°
Positions (direct):
Au  0.3472  0.0902  0.2164
Au  0.7019  0.2351  0.5000
Au  0.8471  0.5904  0.2167
Au  0.5900  0.8488  0.2947
Au  0.8469  0.5899  0.7835
Au  0.2040  0.7332  0.5000
Au  0.3467  0.0900  0.7834
Au  0.5898  0.8485  0.7053
Au  0.0885  0.3474  0.2946
Au  0.0882  0.3472  0.7054
As  0.0271  0.4935  0.0002
As  0.7002  0.6584  0.5002
As  0.2778  0.2360  0.4998
As  0.1568  0.2003  0.0000
As  0.7367  0.7802  0.0001
As  0.4445  0.9108  0.9998